DFT (PBE-GGA) results for a geometry-optimized CaSnB structure.

Geometry as extended XYZ:
```
6
Lattice="8.049 -1.631 0.000 8.049 1.631 0.000 -0.839 0.000 4.803" Properties=species:S:1:pos:R:3 pbc="T T T"
Ca 0.000 0.000 0.000
Ca 3.650 0.000 0.617
Sn 9.352 0.000 2.674
Sn 12.421 0.000 3.253
B 6.847 0.000 2.153
B 14.478 0.000 2.144
```

Formation energy from the elements = -0.146 eV per atom
DOS(E_F) = 2.7 states/eV per cell
Total energy = -4.374 eV per atom
Theoretical density = 4.5 g/cm³
Space group = Cm
Energy relative to the lowest polymorph listed for this composition = 20 meV per atom

---

DFT (PBE-GGA) results for a geometry-optimized V2MoIrOs structure.

Geometry as extended XYZ:
```
5
Lattice="4.398 0.000 0.000 0.000 4.398 0.000 0.000 0.000 4.638" Properties=species:S:1:pos:R:3 pbc="T T T"
V 0.000 2.199 0.000
V 2.199 0.000 0.000
Mo 0.000 0.000 0.000
Ir 2.199 2.199 2.319
Os 0.000 0.000 2.319
```

Formation energy from the elements = 1.655 eV per atom
DOS(E_F) = 5.9 states/eV per cell
Total energy = -8.176 eV per atom
Theoretical density = 10.7 g/cm³
Space group = P4/mmm

---

DFT (PBE-GGA) results for a geometry-optimized Li2Sm3TmS6 structure.

Geometry as extended XYZ:
```
12
Lattice="3.398 -5.885 0.000 3.398 5.885 0.000 -2.257 0.000 6.369" Properties=species:S:1:pos:R:3 pbc="T T T"
Li 3.398 3.924 0.000
Li 3.398 -3.924 0.000
Sm -1.129 0.000 3.184
Sm 2.269 1.983 3.184
Sm 2.269 -1.983 3.184
Tm 3.398 0.000 0.000
S 0.004 1.961 4.874
S 1.138 0.000 1.514
S 0.004 -1.961 4.874
S 4.534 1.961 1.495
S 3.400 0.000 4.855
S 4.534 -1.961 1.495
```

DOS(E_F) = 2.6 states/eV per cell
Total energy = -5.823 eV per atom
Theoretical density = 5.4 g/cm³
Space group = C2/m

---

DFT (PBE-GGA) results for a geometry-optimized EuGd2Ti structure.

Geometry as extended XYZ:
```
4
Lattice="1.732 1.000 11.320 -1.732 1.000 11.320 0.000 -2.001 11.320" Properties=species:S:1:pos:R:3 pbc="T T T"
Eu 0.000 0.000 0.000
Gd 0.000 0.000 8.105
Gd 0.000 0.000 25.855
Ti 0.000 0.000 16.980
```

Formation energy from the elements = 0.251 eV per atom
DOS(E_F) = 5.9 states/eV per cell
Total energy = -11.332 eV per atom
Theoretical density = 7.3 g/cm³
Space group = R-3m